First-principles (PBE-GGA) data for a relaxed Zn2SnRh crystal, as listed in the Alexandria database.

**ρ**: 9.07 g/cm3
**D(E_F)**: 0.528 states/eV per atom
**Energy of formation**: -0.137 eV per atom

Cell lengths 3.974, 3.974, 4.087 Å; angles 90.00, 90.00, 90.00 degrees
Fractional coordinates of all 4 atoms:
1 Zn 0.000 0.500 0.000
2 Zn 0.500 0.000 0.000
3 Sn 0.000 0.000 0.500
4 Rh 0.500 0.500 0.500

---

First-principles (PBE-GGA) data for a relaxed CeThCoI crystal, as listed in the Alexandria database.

**ρ**: 8.11 g/cm3
**E_form (uncorrected)**: -0.57 eV per atom
**D(E_F)**: 1.535 states/eV per atom

Cell lengths 3.963, 3.963, 8.403 Å; angles 104.32, 104.32, 64.98 degrees
Fractional coordinates of all 4 atoms:
1 Ce 0.000 0.000 0.000
2 Th 0.239 0.239 0.649
3 Co 0.625 0.625 0.822
4 I 0.775 0.775 0.321

---

First-principles (PBE-GGA) data for a relaxed Ca3Ag2Cl8 crystal, as listed in the Alexandria database.

**ρ**: 2.79 g/cm3
**E_form (uncorrected)**: -1.79 eV per atom
**D(E_F)**: 0.000 states/eV per atom

Cell lengths 7.831, 7.831, 7.229 Å; angles 108.52, 108.52, 63.69 degrees
Fractional coordinates of all 13 atoms:
1 Ca 0.000 0.000 0.000
2 Ca 0.254 0.746 0.500
3 Ca 0.746 0.254 0.500
4 Ag 0.373 0.373 0.919
5 Ag 0.627 0.627 0.081
6 Cl 0.116 0.116 0.746
7 Cl 0.119 0.646 0.742
8 Cl 0.354 0.881 0.258
9 Cl 0.376 0.376 0.275
10 Cl 0.624 0.624 0.725
11 Cl 0.646 0.119 0.742
12 Cl 0.881 0.354 0.258
13 Cl 0.884 0.884 0.254

---

First-principles (PBE-GGA) data for a relaxed YMn2Os crystal, as listed in the Alexandria database.

**ρ**: 9.49 g/cm3
**D(E_F)**: 1.215 states/eV per atom
**Energy of formation**: 0.322 eV per atom

Cell lengths 4.819, 4.819, 5.064 Å; angles 103.42, 103.42, 36.63 degrees
Fractional coordinates of all 4 atoms:
1 Y 0.000 0.000 0.000
2 Mn 0.511 0.511 0.509
3 Mn 0.773 0.773 0.295
4 Os 0.235 0.235 0.656

---

First-principles (PBE-GGA) data for a relaxed Cd2SnHg6 crystal, as listed in the Alexandria database.

**ρ**: 10.98 g/cm3
**D(E_F)**: 0.297 states/eV per atom
**Energy of formation**: 0.042 eV per atom

Cell lengths 6.244, 6.244, 6.604 Å; angles 92.21, 92.21, 114.34 degrees
Fractional coordinates of all 9 atoms:
1 Cd 0.184 0.816 0.000
2 Cd 0.816 0.184 0.000
3 Sn 0.000 0.000 0.500
4 Hg 0.173 0.498 0.331
5 Hg 0.312 0.312 0.856
6 Hg 0.498 0.173 0.331
7 Hg 0.502 0.827 0.669
8 Hg 0.688 0.688 0.144
9 Hg 0.827 0.502 0.669

---

First-principles (PBE-GGA) data for a relaxed CeGdNiOs crystal, as listed in the Alexandria database.

**ρ**: 11.17 g/cm3
**D(E_F)**: 0.995 states/eV per atom
**Energy of formation**: -0.219 eV per atom

Cell lengths 4.861, 4.861, 4.861 Å; angles 60.00, 60.00, 60.00 degrees
Fractional coordinates of all 4 atoms:
1 Ce 0.000 0.000 0.000
2 Gd 0.500 0.500 0.500
3 Ni 0.250 0.250 0.250
4 Os 0.750 0.750 0.750

---

First-principles (PBE-GGA) data for a relaxed KAg2Rh crystal, as listed in the Alexandria database.

**ρ**: 7.26 g/cm3
**D(E_F)**: 0.817 states/eV per atom
**Energy of formation**: 0.413 eV per atom

Cell lengths 2.957, 2.957, 9.356 Å; angles 90.00, 90.00, 90.00 degrees
Fractional coordinates of all 4 atoms:
1 K 0.000 0.000 0.000
2 Ag 0.000 0.000 0.472
3 Ag 0.500 0.500 0.690
4 Rh 0.500 0.500 0.269

---

First-principles (PBE-GGA) data for a relaxed BRuSe2 crystal, as listed in the Alexandria database.

**ρ**: 7.18 g/cm3
**E_form (uncorrected)**: 0.64 eV per atom
**D(E_F)**: 0.851 states/eV per atom

Cell lengths 7.557, 7.557, 7.557 Å; angles 23.92, 23.92, 23.92 degrees
Fractional coordinates of all 4 atoms:
1 B 0.000 0.000 0.000
2 Ru 0.500 0.500 0.500
3 Se 0.393 0.393 0.393
4 Se 0.607 0.607 0.607

---

> Which value of ρ does entry 3 give?

2.79 g/cm3